This record from the Alexandria database describes a relaxed KVBr4 crystal. The functional is GGA-PBE.

Values from the calculation:
- total magnetic moment (μB per formula unit) = 2.0
- ρ (Mg/m³) = 3.39
- offset from the most stable computed form (meV per atom) = 0
- formation energy (no corrections) (kcal/mol of atoms) = -25.50

Cell lengths 13.212, 3.926, 8.140 Å; angles 90.00, 108.32, 90.00 degrees
Space group C2/m (No. 12)
Inequivalent atoms, fractional coordinates:
K 0.000 0.000 0.000
V 0.000 0.500 0.500
Br 0.111 0.000 0.429
Br 0.124 0.500 0.805

This record from the Alexandria database describes a relaxed KVBr5 crystal. The functional is GGA-PBE.

Values from the calculation:
- total magnetic moment (μB per formula unit) = 1.0
- ρ (Mg/m³) = 2.72
- formation energy (no corrections) (kcal/mol of atoms) = -22.86

Cell lengths 7.983, 9.027, 8.283 Å; angles 90.00, 90.00, 90.00 degrees
Space group Imm2 (No. 44)
Inequivalent atoms, fractional coordinates:
K 0.000 0.000 0.000
V 0.000 0.500 0.697
Br 0.000 0.225 0.692
Br 0.000 0.500 0.411
Br 0.243 0.000 0.339